# 1
# Sr2PbF | Alexandria via LeMat-Bulk | PBE | optimized geometry
# **Fermi-level density of states**: 11.4 states/eV/cell
# **Excess energy over the best structure of this formula in the dataset**: 0.451 eV per atom
# **Density**: 5.03 g/cm³
# **DFT total energy**: -3.374 eV/atom
# **ΔE_f (raw)**: -1.138 eV per atom
data_Sr2PbF
_chemical_formula_sum 'Sr6 Pb3 F3'
_cell_length_a 3.9398
_cell_length_b 3.9398
_cell_length_c 29.5483
_cell_angle_alpha 90.00
_cell_angle_beta 90.00
_cell_angle_gamma 120.00
_space_group_name_H-M_alt 'R -3 m'
_space_group_IT_number 166
_space_group_name_Hall '-R 3 2"'
loop_
_atom_site_label
_atom_site_type_symbol
_atom_site_fract_x
_atom_site_fract_y
_atom_site_fract_z
Sr1 Sr 0.0000 0.0000 0.1118
Pb1 Pb 0.0000 0.0000 0.0000
F1 F 0.0000 0.0000 0.5000

# 2
# Ag3RhN | Alexandria via LeMat-Bulk | PBE | optimized geometry
# **Fermi-level density of states**: 11.7 states/eV/cell
# **Excess energy over the best structure of this formula in the dataset**: 1.416 eV per atom
# **Density**: 5.74 g/cm³
# **DFT total energy**: -2.600 eV/atom
# **ΔE_f (raw)**: 2.246 eV per atom
data_Ag3RhN
_chemical_formula_sum 'Ag3 Rh1 N1'
_cell_length_a 5.0312
_cell_length_b 5.0312
_cell_length_c 5.0312
_cell_angle_alpha 90.00
_cell_angle_beta 90.00
_cell_angle_gamma 90.00
_space_group_name_H-M_alt 'P m -3 m'
_space_group_IT_number 221
_space_group_name_Hall '-P 4 2 3'
loop_
_atom_site_label
_atom_site_type_symbol
_atom_site_fract_x
_atom_site_fract_y
_atom_site_fract_z
Ag1 Ag 0.0000 0.0000 0.5000
Rh1 Rh 0.0000 0.0000 0.0000
N1 N 0.5000 0.5000 0.5000

# 3
# Lu2ScOs | Alexandria via LeMat-Bulk | PBE | optimized geometry
# **Fermi-level density of states**: 3.8 states/eV/cell
# **Excess energy over the best structure of this formula in the dataset**: 0.000 eV per atom
# **Density**: 10.32 g/cm³
# **DFT total energy**: -6.823 eV/atom
# **ΔE_f**: -0.69 eV/f.u.
data_Lu2ScOs
_chemical_formula_sum 'Lu2 Sc1 Os1'
_cell_length_a 3.3510
_cell_length_b 3.3510
_cell_length_c 8.3844
_cell_angle_alpha 90.00
_cell_angle_beta 90.00
_cell_angle_gamma 90.00
_space_group_name_H-M_alt 'P 4/m m m'
_space_group_IT_number 123
_space_group_name_Hall '-P 4 2'
loop_
_atom_site_label
_atom_site_type_symbol
_atom_site_fract_x
_atom_site_fract_y
_atom_site_fract_z
Lu1 Lu 0.0000 0.0000 0.1923
Sc1 Sc 0.5000 0.5000 0.5000
Os1 Os 0.5000 0.5000 0.0000

# 4
# Zn3In12Au5 | Alexandria via LeMat-Bulk | PBE | optimized geometry
# **Fermi-level density of states**: 86.4 states/eV/cell
# **Density**: 7.81 g/cm³
# **DFT total energy**: -2.615 eV/atom
# **ΔE_f**: 0.78 eV/f.u.
data_Zn3In12Au5
_chemical_formula_sum 'Zn24 In96 Au40'
_cell_length_a 16.3282
_cell_length_b 16.3282
_cell_length_c 16.3282
_cell_angle_alpha 90.00
_cell_angle_beta 90.00
_cell_angle_gamma 90.00
_space_group_name_H-M_alt 'I a -3 d'
_space_group_IT_number 230
_space_group_name_Hall '-I 4bd 2c 3'
loop_
_atom_site_label
_atom_site_type_symbol
_atom_site_fract_x
_atom_site_fract_y
_atom_site_fract_z
Zn1 Zn 0.0000 0.2500 0.1250
In1 In 0.0212 0.0818 0.6494
Au1 Au 0.0000 0.0000 0.0000
Au2 Au 0.0000 0.2500 0.3750

# 5
# TmCuPd3 | Alexandria via LeMat-Bulk | PBE | optimized geometry
# **Fermi-level density of states**: 2.9 states/eV/cell
# **Excess energy over the best structure of this formula in the dataset**: 0.000 eV per atom
# **Density**: 10.58 g/cm³
# **DFT total energy**: -5.349 eV/atom
# **ΔE_f**: -2.60 eV/f.u.
data_TmCuPd3
_chemical_formula_sum 'Tm2 Cu2 Pd6'
_cell_length_a 4.3830
_cell_length_b 6.1131
_cell_length_c 6.4666
_cell_angle_alpha 90.00
_cell_angle_beta 90.00
_cell_angle_gamma 90.00
_space_group_name_H-M_alt 'P m m n'
_space_group_IT_number 59
loop_
_space_group_symop_operation_xyz
'x,y,z'
'-x,-y,-z'
'-x+1/2,-y+1/2,z'
'x+1/2,y+1/2,-z'
'x+1/2,-y,-z'
'-x+1/2,y,z'
'-x,y+1/2,-z'
'x,-y+1/2,z'
loop_
_atom_site_label
_atom_site_type_symbol
_atom_site_fract_x
_atom_site_fract_y
_atom_site_fract_z
Tm1 Tm 0.2500 0.2500 0.2222
Cu1 Cu 0.2500 0.7500 0.4374
Pd1 Pd 0.2500 0.0364 0.7165
Pd2 Pd 0.2500 0.7500 0.0581

# 6
# Np4Sb3Se | Alexandria via LeMat-Bulk | PBE | optimized geometry
# **Fermi-level density of states**: 84.2 states/eV/cell
# **Density**: 10.10 g/cm³
# **DFT total energy**: -8.822 eV/atom
# **ΔE_f (raw)**: -0.370 eV per atom
data_Np4Sb3Se
_chemical_formula_sum 'Np8 Sb6 Se2'
_cell_length_a 7.4654
_cell_length_b 8.7454
_cell_length_c 7.4615
_cell_angle_alpha 90.00
_cell_angle_beta 110.05
_cell_angle_gamma 90.00
_space_group_name_H-M_alt 'P 1 2/c 1'
_space_group_IT_number 13
_space_group_name_Hall '-P 2yc'
loop_
_atom_site_label
_atom_site_type_symbol
_atom_site_fract_x
_atom_site_fract_y
_atom_site_fract_z
Np1 Np 0.2352 0.1164 0.9998
Np2 Np 0.2450 0.3701 0.4936
Sb1 Sb 0.0000 0.3737 0.7500
Sb2 Sb 0.5000 0.1253 0.7500
Sb3 Sb 0.5000 0.3719 0.2500
Se1 Se 0.0000 0.1249 0.2500

# 7
# Y2BeTe2 | Alexandria via LeMat-Bulk | PBE | optimized geometry
# **Fermi-level density of states**: 5.6 states/eV/cell
# **Excess energy over the best structure of this formula in the dataset**: 0.000 eV per atom
# **Density**: 5.60 g/cm³
# **DFT total energy**: -5.069 eV/atom
# **ΔE_f (raw)**: -0.481 eV per atom
data_Y2BeTe2
_chemical_formula_sum 'Y4 Be2 Te4'
_cell_length_a 8.0782
_cell_length_b 8.0782
_cell_length_c 4.0195
_cell_angle_alpha 90.00
_cell_angle_beta 90.00
_cell_angle_gamma 90.00
_space_group_name_H-M_alt 'P 4/m b m'
_space_group_IT_number 127
_space_group_name_Hall '-P 4 2ab'
loop_
_atom_site_label
_atom_site_type_symbol
_atom_site_fract_x
_atom_site_fract_y
_atom_site_fract_z
Y1 Y 0.1526 0.3474 0.0000
Be1 Be 0.0000 0.0000 0.5000
Te1 Te 0.1503 0.6503 0.5000

# 8
# MoRuCl2 | Alexandria via LeMat-Bulk | PBE | optimized geometry
# **Fermi-level density of states**: 2.5 states/eV/cell
# **Excess energy over the best structure of this formula in the dataset**: 0.157 eV per atom
# **Density**: 5.97 g/cm³
# **DFT total energy**: -6.038 eV/atom
# **ΔE_f (raw)**: -0.088 eV per atom
data_MoRuCl2
_chemical_formula_sum 'Mo1 Ru1 Cl2'
_cell_length_a 2.9431
_cell_length_b 2.9431
_cell_length_c 8.6082
_cell_angle_alpha 90.00
_cell_angle_beta 90.00
_cell_angle_gamma 90.00
_space_group_name_H-M_alt 'P 4 m m'
_space_group_IT_number 99
_space_group_name_Hall 'P 4 -2'
loop_
_atom_site_label
_atom_site_type_symbol
_atom_site_fract_x
_atom_site_fract_y
_atom_site_fract_z
Mo1 Mo 0.0000 0.0000 0.0000
Ru1 Ru 0.5000 0.5000 0.1944
Cl1 Cl 0.0000 0.0000 0.3957
Cl2 Cl 0.5000 0.5000 0.8089

# 9
# KTeAsSe2 | Alexandria via LeMat-Bulk | PBE | optimized geometry
# **Fermi-level density of states**: 8.1 states/eV/cell
# **Excess energy over the best structure of this formula in the dataset**: 1.166 eV per atom
# **Density**: 3.51 g/cm³
# **DFT total energy**: -1.958 eV/atom
# **ΔE_f (raw)**: 1.214 eV per atom
data_KTeAsSe2
_chemical_formula_sum 'K1 Te1 As1 Se2'
_cell_length_a 5.6929
_cell_length_b 5.6929
_cell_length_c 5.8371
_cell_angle_alpha 90.00
_cell_angle_beta 90.00
_cell_angle_gamma 90.00
_space_group_name_H-M_alt 'P 4/m m m'
_space_group_IT_number 123
_space_group_name_Hall '-P 4 2'
loop_
_atom_site_label
_atom_site_type_symbol
_atom_site_fract_x
_atom_site_fract_y
_atom_site_fract_z
K1 K 0.0000 0.0000 0.0000
Te1 Te 0.5000 0.5000 0.5000
As1 As 0.0000 0.0000 0.5000
Se1 Se 0.0000 0.5000 0.0000

# 10
# HOs3Au | Alexandria via LeMat-Bulk | PBE | optimized geometry
# **Fermi-level density of states**: 7.0 states/eV/cell
# **Excess energy over the best structure of this formula in the dataset**: 0.000 eV per atom
# **Density**: 20.38 g/cm³
# **DFT total energy**: -7.366 eV/atom
data_HOs3Au
_chemical_formula_sum 'H1 Os3 Au1'
_cell_length_a 3.9715
_cell_length_b 3.9715
_cell_length_c 3.9715
_cell_angle_alpha 90.00
_cell_angle_beta 90.00
_cell_angle_gamma 90.00
_space_group_name_H-M_alt 'P m -3 m'
_space_group_IT_number 221
_space_group_name_Hall '-P 4 2 3'
loop_
_atom_site_label
_atom_site_type_symbol
_atom_site_fract_x
_atom_site_fract_y
_atom_site_fract_z
H1 H 0.0000 0.0000 0.0000
Os1 Os 0.0000 0.0000 0.5000
Au1 Au 0.5000 0.5000 0.5000

# 11
# RbBa2Ge | Alexandria via LeMat-Bulk | PBE | optimized geometry
# **Fermi-level density of states**: 18.9 states/eV/cell
# **Excess energy over the best structure of this formula in the dataset**: 0.199 eV per atom
# **Density**: 4.42 g/cm³
# **DFT total energy**: -2.389 eV/atom
# **ΔE_f**: -0.12 eV/f.u.
data_RbBa2Ge
_chemical_formula_sum 'Rb4 Ba8 Ge4'
_cell_length_a 8.6639
_cell_length_b 8.6639
_cell_length_c 8.6639
_cell_angle_alpha 90.00
_cell_angle_beta 90.00
_cell_angle_gamma 90.00
_space_group_name_H-M_alt 'F m -3 m'
_space_group_IT_number 225
_space_group_name_Hall '-F 4 2 3'
loop_
_atom_site_label
_atom_site_type_symbol
_atom_site_fract_x
_atom_site_fract_y
_atom_site_fract_z
Rb1 Rb 0.0000 0.0000 0.0000
Ba1 Ba 0.2500 0.2500 0.2500
Ge1 Ge 0.0000 0.0000 0.5000

Question: density of number 11 (RbBa2Ge)?
Answer: 4.42 g/cm³

Question: Look up the density of the fifth one.
Answer: 10.58 g/cm³

Question: Fermi-level density of states of number 8 (MoRuCl2)?
Answer: 2.5 states/eV/cell